Record 1
## CrCu2Hg2 (GGA-PBE)

Data for CrCu2Hg2 after structural relaxation.

a b c (Å): 7.5050 7.5050 3.1469
angles (deg): 90.00 90.00 90.00
Last column: magnetic moment on the atom in μB.
Atoms (fractional coordinates):
Hg  0.8552  0.6448  0.0000  0.00
Cr  0.0000  0.0000  0.0000  3.86
Hg  0.6448  0.1448  0.0000  0.00
Cr  0.5000  0.5000  0.0000  3.86
Hg  0.3552  0.8552  0.0000  0.00
Cu  0.1558  0.6558  0.5000  0.01
Cu  0.8442  0.3442  0.5000  0.01
Hg  0.1448  0.3552  0.0000  0.00
Cu  0.6558  0.8442  0.5000  0.01
Cu  0.3442  0.1558  0.5000  0.01

Computed properties:
Space group: No. 127
Volume: 177.2 Å³ per cell
Total energy: -3.26 eV/atom
Total magnetization: 4.33 μB/f.u.
Distance to the lowest polymorph of the same formula: 0.0485 eV/atom
Energy of formation from the pure elements: 0.421 eV/atom
N(E_F): 0.340 states/eV/atom

***

Record 2
## Cr2PN (GGA-PBE)

Data for Cr2PN after structural relaxation.

a b c (Å): 4.8832 4.8832 5.7877
angles (deg): 65.05 65.05 90.00
Last column: magnetic moment on the atom in μB.
Atoms (fractional coordinates):
P  0.7500  0.2500  0.5000  -0.13
Cr  0.1953  0.6250  0.2500  2.10
N  0.2500  0.7500  0.5000  -0.15
P  0.0000  0.0000  0.0000  -0.13
Cr  0.8750  0.8047  0.7500  2.10
Cr  0.3750  0.4453  0.7500  2.12
N  0.5000  0.5000  0.0000  -0.15
Cr  0.5547  0.1250  0.2500  2.12

Computed properties:
Space group: No. 122
Volume: 110.8 Å³ per cell
Total energy: -8.49 eV/atom
Total magnetization: 4.16 μB/f.u.
Distance to the lowest polymorph of the same formula: 0.0000 eV/atom
Energy relative to the elements, uncorrected: -0.2457 eV/atom
N(E_F): 0.626 states/eV/atom

***

Record 3
## Pm4InGa12 (GGA-PBE)

Data for Pm4InGa12 after structural relaxation.

a b c (Å): 7.7375 7.7375 7.7375
angles (deg): 109.47 109.47 109.47
Atoms (fractional coordinates):
Ga  0.0000  0.3194  0.3194
Ga  0.6806  0.0000  0.6806
Ga  0.0000  0.6806  0.6806
Pm  0.5000  0.0000  0.0000
Ga  0.3194  0.0000  0.3194
Ga  0.2500  0.7500  0.5000
Ga  0.7500  0.2500  0.5000
Pm  0.0000  0.5000  0.0000
Ga  0.5000  0.2500  0.7500
Ga  0.5000  0.7500  0.2500
In  0.0000  0.0000  0.0000
Pm  0.0000  0.0000  0.5000
Ga  0.3194  0.3194  0.0000
Ga  0.6806  0.6806  0.0000
Pm  0.5000  0.5000  0.5000
Ga  0.7500  0.5000  0.2500
Ga  0.2500  0.5000  0.7500

Computed properties:
Space group: No. 229
Volume: 356.6 Å³ per cell
Total energy: -3.92 eV/atom
Total magnetization: 0.00 μB/f.u.
Energy of formation from the pure elements: -0.507 eV/atom
N(E_F): 0.497 states/eV/atom

***

Record 4
## TbSm4Y2 (GGA-PBE)

Data for TbSm4Y2 after structural relaxation.

a b c (Å): 6.2802 6.5956 11.6183
angles (deg): 90.00 105.38 90.00
Atoms (fractional coordinates):
Y  0.2933  0.2500  0.4234
Y  0.6128  0.7500  0.9943
Y  0.7067  0.7500  0.5766
Tb  0.8422  0.2500  0.8344
Sm  0.8548  0.2500  0.5492
Sm  0.1452  0.7500  0.4508
Sm  0.3465  0.0078  0.7144
Tb  0.1578  0.7500  0.1656
Sm  0.6535  0.9922  0.2856
Sm  0.9586  0.2500  0.1358
Sm  0.3465  0.4922  0.7144
Sm  0.6535  0.5078  0.2856
Y  0.3872  0.2500  0.0057
Sm  0.0414  0.7500  0.8642

Computed properties:
Space group: No. 11
Volume: 464.0 Å³ per cell
Total energy: -5.08 eV/atom
Total magnetization: 0.00 μB/f.u.
Distance to the lowest polymorph of the same formula: 0.0000 eV/atom
Energy of formation from the pure elements: 0.122 eV/atom
N(E_F): 1.572 states/eV/atom

***

Record 5
## Dy4HgRh (GGA-PBE)

Data for Dy4HgRh after structural relaxation.

a b c (Å): 9.5720 9.5720 9.5720
angles (deg): 60.00 60.00 60.00
Atoms (fractional coordinates):
Dy  0.9395  0.9395  0.5605
Dy  0.5605  0.9395  0.9395
Dy  0.9395  0.5605  0.9395
Hg  0.1651  0.5046  0.1651
Hg  0.1651  0.1651  0.1651
Rh  0.1788  0.6071  0.6071
Dy  0.8046  0.3985  0.3985
Dy  0.8132  0.8132  0.1868
Rh  0.6071  0.1788  0.6071
Dy  0.3985  0.3985  0.3985
Hg  0.1651  0.1651  0.5046
Dy  0.3985  0.3985  0.8046
Rh  0.6071  0.6071  0.1788
Dy  0.8132  0.1868  0.8132
Dy  0.8132  0.1868  0.1868
Dy  0.1868  0.8132  0.1868
Dy  0.5605  0.5605  0.9395
Dy  0.1868  0.1868  0.8132
Dy  0.9395  0.5605  0.5605
Dy  0.3985  0.8046  0.3985
Dy  0.1868  0.8132  0.8132
Rh  0.6071  0.6071  0.6071
Dy  0.5605  0.9395  0.5605
Hg  0.5046  0.1651  0.1651

Computed properties:
Space group: No. 216
Volume: 620.1 Å³ per cell
Total energy: -4.89 eV/atom
Total magnetization: 0.00 μB/f.u.
Distance to the lowest polymorph of the same formula: 0.0000 eV/atom
Energy of formation from the pure elements: -0.547 eV/atom
N(E_F): 0.588 states/eV/atom

***

Record 6
## Ti2Al6Ni (GGA-PBE)

Data for Ti2Al6Ni after structural relaxation.

a b c (Å): 2.9827 7.1451 7.6616
angles (deg): 117.79 89.99 90.00
Atoms (fractional coordinates):
Al  0.0001  0.3401  0.3156
Al  0.9999  0.6599  0.6844
Ti  0.5000  0.6908  0.3815
Al  0.5000  0.6999  0.0000
Al  0.9999  0.0245  0.6844
Ni  0.0000  0.0000  0.0000
Al  0.5000  0.3001  0.0000
Al  0.0001  0.9755  0.3156
Ti  0.5000  0.3093  0.6185

Computed properties:
Space group: No. 65
Volume: 144.4 Å³ per cell
Total energy: -5.14 eV/atom
Total magnetization: 0.00 μB/f.u.
Energy of formation from the pure elements: -0.243 eV/atom
N(E_F): 0.618 states/eV/atom